A plane-wave DFT calculation with GGA-PBE was carried out for crystalline Pu2CdGa3 at its relaxed geometry.

Summary:
The value obtained for the formation energy is -0.19 eV per atom. The value obtained for the uncorrected energy is -39.80 eV for the cell shown. The space group is No. 44.

Unit cell a=8.4375 b=8.4375 c=8.4375 alpha=154.37 beta=147.80 gamma=41.60
Last column: nearest neighbours and their distance in Å.
Atoms (fractional coordinates):
1 Pu 0.0000 0.0000 0.0000  8 Ga 3.14-3.45, 4 Cd 3.45
2 Pu 0.7865 0.2865 0.5000  10 Ga 3.12-3.41, 2 Cd 3.38
3 Cd 0.6078 0.6078 0.0000  3 Ga 2.63-2.64
4 Ga 0.1836 0.6836 0.5000  1 Ga 2.50, 2 Cd 2.63
5 Ga 0.3420 0.8420 0.5000  3 Ga 2.44-2.50
6 Ga 0.4408 0.4408 0.0000  2 Ga 2.44, 1 Cd 2.64



A plane-wave DFT calculation with GGA-PBE was carried out for crystalline PuCd4Ga2 at its relaxed geometry.

Summary:
The value obtained for the formation energy is -0.11 eV per atom. The value obtained for the uncorrected energy is -24.84 eV for the cell shown. The space group is No. 65.

Unit cell a=8.3486 b=8.3486 c=4.3523 alpha=90.00 beta=90.00 gamma=149.55
Last column: nearest neighbours and their distance in Å.
Atoms (fractional coordinates):
1 Pu 0.0000 0.0000 0.0000  8 Ga 3.32, 8 Cd 3.59-3.66
2 Cd 0.1775 0.8225 0.5000  2 Ga 2.74
3 Cd 0.3180 0.6820 0.0000  2 Ga 2.78, 6 Cd 3.09-3.10
4 Cd 0.6820 0.3180 0.0000  2 Ga 2.78, 6 Cd 3.09-3.10
5 Cd 0.8225 0.1775 0.5000  2 Ga 2.74
6 Ga 0.4250 0.5750 0.5000  1 Ga 2.42
7 Ga 0.5750 0.4250 0.5000  1 Ga 2.42